5
Lattice="-1.417 -4.466 1.780 2.767 0.879 4.407 -4.026 2.117 2.106" Properties=species:S:1:pos:R:3 comment="SeBrNCl2 | Alexandria via LeMat-Bulk | PBE | relaxed" space_group="P4/mmm (123)" energy_ev_per_atom=-2.475 formation_energy_uncorrected_kj_per_mol_atoms=92.6 pbc="T T T"
Cl -0.709 -2.233 0.890
Cl -2.013 1.059 1.053
Br 1.384 0.439 2.203
Se 0.000 0.000 0.000
N -1.338 -0.735 4.147

=====

4
Lattice="4.276 0.000 -0.001 0.000 4.252 0.000 -2.135 -2.125 7.816" Properties=species:S:1:pos:R:3 comment="ErHI2 | Alexandria via LeMat-Bulk | PBE | relaxed" space_group="Immm (71)" energy_ev_per_atom=-3.765 pbc="T T T"
I 2.141 2.166 5.699
I 0.000 0.039 2.116
H 0.003 0.039 7.815
Er 2.138 0.037 0.000